Record 1
VASP calculation (PBE) on Na2CoH6Pd after structural relaxation.

density = 3.4 Mg/m³
total energy = -0.26861 Ry per atom
density of states at the Fermi level = 0.4458 states/eV/atom

Geometry as CIF:
```
data_Na2CoH6Pd
_cell_length_a 4.9315
_cell_length_b 4.9315
_cell_length_c 4.9744
_cell_angle_alpha 90.00
_cell_angle_beta 90.00
_cell_angle_gamma 120.00
_symmetry_space_group_name_H-M 'P -3 m 1'
_symmetry_Int_Tables_number 164
_symmetry_space_group_name_Hall '-P 3 2"'
loop_
_atom_site_label
_atom_site_type_symbol
_atom_site_fract_x
_atom_site_fract_y
_atom_site_fract_z
_atom_site_occupancy
Na1 Na 0.3333 0.6667 0.2051 1
Co1 Co 0.0000 0.0000 0.0000 1
H1 H 0.1417 0.2833 0.7855 1
Pd1 Pd 0.0000 0.0000 0.5000 1
```

---

Record 2
VASP calculation (PBE) on NaCoHPd2 after structural relaxation.

density = 7.8 Mg/m³
total energy = -0.31611 Ry per atom
density of states at the Fermi level = 0.8466 states/eV/atom

Geometry as CIF:
```
data_NaCoHPd2
_cell_length_a 4.207
_cell_length_b 4.207
_cell_length_c 3.575
_cell_angle_alpha 90.00
_cell_angle_beta 90.00
_cell_angle_gamma 90.00
_symmetry_space_group_name_H-M 'P 4/m m m'
_symmetry_Int_Tables_number 123
_symmetry_space_group_name_Hall '-P 4 2'
loop_
_atom_site_label
_atom_site_type_symbol
_atom_site_fract_x
_atom_site_fract_y
_atom_site_fract_z
_atom_site_occupancy
Na1 Na 0.000 0.000 0.000 1
Co1 Co 0.500 0.500 0.000 1
H1 H 0.500 0.500 0.500 1
Pd1 Pd 0.000 0.500 0.500 1
```

---

Record 3
VASP calculation (PBE) on Na2PmCoH8 after structural relaxation.

density = 3.7 Mg/m³
total energy = -0.27375 Ry per atom

Geometry as CIF:
```
data_Na2PmCoH8
_cell_length_a 4.6942
_cell_length_b 4.6942
_cell_length_c 6.0201
_cell_angle_alpha 90.00
_cell_angle_beta 90.00
_cell_angle_gamma 120.00
_symmetry_space_group_name_H-M 'P -3 m 1'
_symmetry_Int_Tables_number 164
_symmetry_space_group_name_Hall '-P 3 2"'
loop_
_atom_site_label
_atom_site_type_symbol
_atom_site_fract_x
_atom_site_fract_y
_atom_site_fract_z
_atom_site_occupancy
Na1 Na 0.3333 0.6667 0.3722 1
Pm1 Pm 0.0000 0.0000 0.0000 1
Co1 Co 0.0000 0.0000 0.5000 1
H1 H 0.1503 0.3006 0.6559 1
H2 H 0.3333 0.6667 0.0060 1
```

---

Record 4
VASP calculation (PBE) on NaPrCoH6 after structural relaxation.

density = 4.5 Mg/m³
total energy = -0.29663 Ry per atom
density of states at the Fermi level = 0.3433 states/eV/atom

Geometry as CIF:
```
data_NaPrCoH6
_cell_length_a 4.7897
_cell_length_b 4.7897
_cell_length_c 4.2290
_cell_angle_alpha 90.00
_cell_angle_beta 90.00
_cell_angle_gamma 120.00
_symmetry_space_group_name_H-M 'P 3 m 1'
_symmetry_Int_Tables_number 156
_symmetry_space_group_name_Hall 'P 3 -2"'
loop_
_atom_site_label
_atom_site_type_symbol
_atom_site_fract_x
_atom_site_fract_y
_atom_site_fract_z
_atom_site_occupancy
Na1 Na 0.0000 0.0000 0.0000 1
Pr1 Pr 0.3333 0.6667 0.5123 1
Co1 Co 0.6667 0.3333 0.2226 1
H1 H 0.3548 0.1774 0.4442 1
H2 H 0.5031 0.0063 0.0168 1
```

---

Record 5
VASP calculation (PBE) on Na2CoH6Rh after structural relaxation.

density = 4.3 Mg/m³
total energy = -0.28600 Ry per atom
density of states at the Fermi level = 0.2865 states/eV/atom

Geometry as CIF:
```
data_Na2CoH6Rh
_cell_length_a 6.867
_cell_length_b 6.881
_cell_length_c 6.915
_cell_angle_alpha 90.00
_cell_angle_beta 90.00
_cell_angle_gamma 90.00
_symmetry_space_group_name_H-M 'F m m m'
_symmetry_Int_Tables_number 69
_symmetry_space_group_name_Hall '-F 2 2'
loop_
_atom_site_label
_atom_site_type_symbol
_atom_site_fract_x
_atom_site_fract_y
_atom_site_fract_z
_atom_site_occupancy
Na1 Na 0.250 0.250 0.250 1
Co1 Co 0.000 0.000 0.000 1
H1 H 0.000 0.000 0.243 1
H2 H 0.000 0.244 0.000 1
H3 H 0.244 0.000 0.000 1
Rh1 Rh 0.000 0.000 0.500 1
```

---

Record 6
VASP calculation (PBE) on NaCoHS2 after structural relaxation.

density = 3.6 Mg/m³
total energy = -0.25865 Ry per atom
density of states at the Fermi level = 1.2081 states/eV/atom

Geometry as CIF:
```
data_NaCoHS2
_cell_length_a 4.289
_cell_length_b 4.289
_cell_length_c 3.670
_cell_angle_alpha 90.00
_cell_angle_beta 90.00
_cell_angle_gamma 90.00
_symmetry_space_group_name_H-M 'P 4/m m m'
_symmetry_Int_Tables_number 123
_symmetry_space_group_name_Hall '-P 4 2'
loop_
_atom_site_label
_atom_site_type_symbol
_atom_site_fract_x
_atom_site_fract_y
_atom_site_fract_z
_atom_site_occupancy
Na1 Na 0.000 0.000 0.000 1
Co1 Co 0.500 0.500 0.000 1
H1 H 0.000 0.000 0.500 1
S1 S 0.000 0.500 0.500 1
```

---

Record 7
VASP calculation (PBE) on Na2CoSnH6 after structural relaxation.

density = 3.6 Mg/m³
total energy = -0.24929 Ry per atom
density of states at the Fermi level = 0.1453 states/eV/atom

Geometry as CIF:
```
data_Na2CoSnH6
_cell_length_a 5.281
_cell_length_b 5.281
_cell_length_c 7.546
_cell_angle_alpha 90.00
_cell_angle_beta 90.00
_cell_angle_gamma 90.00
_symmetry_space_group_name_H-M 'I 4/m m m'
_symmetry_Int_Tables_number 139
_symmetry_space_group_name_Hall '-I 4 2'
loop_
_atom_site_label
_atom_site_type_symbol
_atom_site_fract_x
_atom_site_fract_y
_atom_site_fract_z
_atom_site_occupancy
Na1 Na 0.000 0.500 0.250 1
Co1 Co 0.000 0.000 0.000 1
Sn1 Sn 0.000 0.000 0.500 1
H1 H 0.000 0.000 0.213 1
H2 H 0.214 0.214 0.000 1
```

---

Record 8
VASP calculation (PBE) on NaTaCo2H after structural relaxation.

density = 7.9 Mg/m³
total energy = -0.34927 Ry per atom
density of states at the Fermi level = 1.3354 states/eV/atom

Geometry as CIF:
```
data_NaTaCo2H
_cell_length_a 4.602
_cell_length_b 4.602
_cell_length_c 3.204
_cell_angle_alpha 90.00
_cell_angle_beta 90.00
_cell_angle_gamma 90.00
_symmetry_space_group_name_H-M 'P 4/m m m'
_symmetry_Int_Tables_number 123
_symmetry_space_group_name_Hall '-P 4 2'
loop_
_atom_site_label
_atom_site_type_symbol
_atom_site_fract_x
_atom_site_fract_y
_atom_site_fract_z
_atom_site_occupancy
Na1 Na 0.000 0.000 0.000 1
Ta1 Ta 0.500 0.500 0.500 1
Co1 Co 0.000 0.500 0.000 1
H1 H 0.000 0.000 0.500 1
```

---

Record 9
VASP calculation (PBE) on Na2TbCoH8 after structural relaxation.

density = 4.1 Mg/m³
total energy = -0.27205 Ry per atom

Geometry as CIF:
```
data_Na2TbCoH8
_cell_length_a 4.6736
_cell_length_b 4.6736
_cell_length_c 5.8659
_cell_angle_alpha 90.00
_cell_angle_beta 90.00
_cell_angle_gamma 120.00
_symmetry_space_group_name_H-M 'P -3 m 1'
_symmetry_Int_Tables_number 164
_symmetry_space_group_name_Hall '-P 3 2"'
loop_
_atom_site_label
_atom_site_type_symbol
_atom_site_fract_x
_atom_site_fract_y
_atom_site_fract_z
_atom_site_occupancy
Na1 Na 0.3333 0.6667 0.3696 1
Tb1 Tb 0.0000 0.0000 0.0000 1
Co1 Co 0.0000 0.0000 0.5000 1
H1 H 0.1505 0.3010 0.6606 1
H2 H 0.3333 0.6667 0.9994 1
```

---

Record 10
VASP calculation (PBE) on NaCoTeH2 after structural relaxation.

density = 3.5 Mg/m³
total energy = -0.20680 Ry per atom
density of states at the Fermi level = 0.8853 states/eV/atom

Geometry as CIF:
```
data_NaCoTeH2
_cell_length_a 3.808
_cell_length_b 3.808
_cell_length_c 6.844
_cell_angle_alpha 90.00
_cell_angle_beta 90.00
_cell_angle_gamma 90.00
_symmetry_space_group_name_H-M 'P 4/m m m'
_symmetry_Int_Tables_number 123
_symmetry_space_group_name_Hall '-P 4 2'
loop_
_atom_site_label
_atom_site_type_symbol
_atom_site_fract_x
_atom_site_fract_y
_atom_site_fract_z
_atom_site_occupancy
Na1 Na 0.000 0.000 0.000 1
Co1 Co 0.000 0.000 0.500 1
Te1 Te 0.500 0.500 0.500 1
H1 H 0.000 0.500 0.000 1
```

---

Record 11
VASP calculation (PBE) on NaTl2CoH6 after structural relaxation.

density = 6.3 Mg/m³
total energy = -0.24150 Ry per atom

Geometry as CIF:
```
data_NaTl2CoH6
_cell_length_a 5.1837
_cell_length_b 5.1837
_cell_length_c 5.6373
_cell_angle_alpha 90.00
_cell_angle_beta 90.00
_cell_angle_gamma 120.00
_symmetry_space_group_name_H-M 'P -3 m 1'
_symmetry_Int_Tables_number 164
_symmetry_space_group_name_Hall '-P 3 2"'
loop_
_atom_site_label
_atom_site_type_symbol
_atom_site_fract_x
_atom_site_fract_y
_atom_site_fract_z
_atom_site_occupancy
Na1 Na 0.0000 0.0000 0.0000 1
Tl1 Tl 0.3333 0.6667 0.2678 1
Co1 Co 0.0000 0.0000 0.5000 1
H1 H 0.1433 0.2867 0.6543 1
```